Crystalline Pr8Sm4In at its relaxed geometry. Source: Alexandria, functional PBE.

a b c (Å): 11.7468 11.7468 7.8379
angles (deg): 90.00 138.54 120.00
Last column: nearest neighbours and their distance in Å.
Element x y z (fractional)
1 Pr 0.5170 0.7585 0.2755  1 Sm 2.85, 1 In 3.05
2 Pr 0.4830 0.2415 0.7245  1 Sm 2.85, 1 In 3.05
3 Pr 0.3389 0.1694 0.0042  3 Sm 3.38-3.42, 3 Pr 3.42-3.54
4 Pr 0.1652 0.3346 0.9958  3 Sm 3.38-3.42, 3 Pr 3.42-3.54
5 Pr 0.6611 0.8306 0.9958  3 Sm 3.38-3.42, 3 Pr 3.42-3.54
6 Pr 0.1652 0.8306 0.9958  3 Sm 3.38-3.42, 3 Pr 3.42-3.54
7 Pr 0.8348 0.1694 0.0042  3 Sm 3.38-3.42, 3 Pr 3.42-3.54
8 Pr 0.8348 0.6654 0.0042  3 Sm 3.38-3.42, 3 Pr 3.42-3.54
9 Sm 0.0000 0.0000 0.0000  2 Pr 2.85
10 Sm 0.0000 0.5000 0.0000  6 Pr 3.38-3.56
11 Sm 0.5000 0.5000 0.0000  6 Pr 3.38-3.56
12 Sm 0.5000 0.0000 0.0000  6 Pr 3.38-3.56
13 In 0.0000 0.5000 0.5000  2 Pr 3.05

**Total energy**: -55.76 eV per cell
**Density of states at the Fermi level**: 19.6 states/eV per cell
**Total moment**: 0.00 μB per atom
**Energy of formation from the pure elements**: 0.31 eV/atom